# 1
Entry from Alexandria via LeMat-Bulk: an optimized crystal structure of ZrNi2As (GGA-PBE).

a = 4.687 Å, b = 5.208 Å, c = 2.920 Å
α = 75.10°, β = 87.04°, γ = 115.82°
Sites, in units of the cell vectors:
As  0.500  0.500  0.000
Ni  0.500  0.000  0.500
Ni  0.000  0.000  0.000
Zr  0.000  0.500  0.500

Values from the calculation:
DOS(E_F) in states/eV per cell: 2.70
DFT total energy in eV per atom: -6.350

# 2
Entry from Alexandria via LeMat-Bulk: an optimized crystal structure of CuMoAs2 (GGA-PBE).

a = 5.163 Å, b = 5.106 Å, c = 3.070 Å
α = 72.16°, β = 90.65°, γ = 120.60°
Sites, in units of the cell vectors:
Cu  0.000  0.500  0.500
As  0.500  0.000  0.500
As  0.000  0.000  0.000
Mo  0.500  0.500  0.000

Values from the calculation:
DOS(E_F) in states/eV per cell: 3.06
Energy above the most stable polymorph in this dataset in meV per atom: 368

# 3
Entry from Alexandria via LeMat-Bulk: an optimized crystal structure of AcNpO4 (GGA-PBE).

a = 5.959 Å, b = 5.614 Å, c = 6.948 Å
α = 110.12°, β = 111.86°, γ = 98.05°
Sites, in units of the cell vectors:
O  0.058  0.731  0.932
O  0.203  0.962  0.460
O  0.374  0.200  0.932
O  0.942  0.269  0.068
O  0.797  0.038  0.540
O  0.243  0.502  0.540
O  0.626  0.800  0.068
O  0.757  0.498  0.460
Ac  0.633  0.383  0.767
Ac  0.367  0.617  0.233
Np  0.904  0.154  0.307
Np  0.096  0.846  0.693

Values from the calculation:
DOS(E_F) in states/eV per cell: 10.02
Energy above the most stable polymorph in this dataset in meV per atom: 0
Energy relative to the elements, uncorrected in meV per atom: -3196

# 4
Entry from Alexandria via LeMat-Bulk: an optimized crystal structure of CoMo2Au (GGA-PBE).

a = 4.716 Å, b = 4.716 Å, c = 4.943 Å
α = 81.17°, β = 81.17°, γ = 33.70°
Sites, in units of the cell vectors:
Mo  0.250  0.250  0.240
Mo  0.010  0.010  0.978
Au  0.496  0.496  0.504
Co  0.744  0.744  0.778

Values from the calculation:
DOS(E_F) in states/eV per cell: 4.42
Energy above the most stable polymorph in this dataset in meV per atom: 121

# 5
Entry from Alexandria via LeMat-Bulk: an optimized crystal structure of DyHo2Sc7 (GGA-PBE).

a = 5.754 Å, b = 8.863 Å, c = 8.835 Å
α = 130.22°, β = 108.94°, γ = 102.46°
Sites, in units of the cell vectors:
Sc  0.897  0.095  0.399
Sc  0.299  0.699  0.802
Sc  0.500  0.500  0.000
Sc  0.701  0.301  0.198
Sc  0.201  0.799  0.202
Sc  0.103  0.905  0.601
Sc  0.799  0.201  0.798
Dy  0.000  0.000  0.000
Ho  0.604  0.397  0.604
Ho  0.396  0.603  0.396

Values from the calculation:
DOS(E_F) in states/eV per cell: 16.23
Energy above the most stable polymorph in this dataset in meV per atom: 0

# 6
Entry from Alexandria via LeMat-Bulk: an optimized crystal structure of KBeSbBr2 (GGA-PBE).

a = 4.779 Å, b = 4.779 Å, c = 9.347 Å
α = 90.00°, β = 90.00°, γ = 90.00°
Sites, in units of the cell vectors:
Br  0.000  0.500  0.000
Br  0.500  0.000  0.000
Sb  0.500  0.500  0.500
K  0.000  0.000  0.500
Be  0.000  0.000  0.000

Values from the calculation:
DOS(E_F) in states/eV per cell: 1.70
Energy relative to the elements, uncorrected in meV per atom: 28

# 7
Entry from Alexandria via LeMat-Bulk: an optimized crystal structure of Mn2AlPt5 (GGA-PBE).

a = 4.040 Å, b = 5.496 Å, c = 10.822 Å
α = 90.00°, β = 90.00°, γ = 90.00°
Sites, in units of the cell vectors:
Pt  0.500  0.203  0.609
Pt  0.000  0.446  0.759
Pt  0.000  0.500  0.500
Pt  0.000  0.946  0.741
Pt  0.000  0.000  0.000
Pt  0.500  0.797  0.391
Pt  0.000  0.054  0.259
Pt  0.500  0.703  0.891
Pt  0.000  0.554  0.241
Pt  0.500  0.297  0.109
Mn  0.500  0.803  0.137
Mn  0.500  0.303  0.363
Mn  0.500  0.697  0.637
Mn  0.500  0.197  0.863
Al  0.000  0.000  0.500
Al  0.000  0.500  0.000

Values from the calculation:
DOS(E_F) in states/eV per cell: 2.61
DFT total energy in eV per atom: -7.144

# 8
Entry from Alexandria via LeMat-Bulk: an optimized crystal structure of Er5Tm3Th3 (GGA-PBE).

a = 3.393 Å, b = 11.101 Å, c = 11.101 Å
α = 120.00°, β = 90.00°, γ = 90.00°
Sites, in units of the cell vectors:
Er  0.500  0.000  0.839
Er  0.500  0.333  0.667
Er  0.500  0.839  0.000
Er  0.500  0.667  0.333
Er  0.500  0.161  0.161
Th  0.500  0.339  0.000
Th  0.500  0.000  0.339
Th  0.500  0.661  0.661
Tm  0.000  0.408  0.408
Tm  0.000  0.000  0.592
Tm  0.000  0.592  0.000

Values from the calculation:
DOS(E_F) in states/eV per cell: 15.48
Energy above the most stable polymorph in this dataset in meV per atom: 0